No. 1
# Na4TbY3S8, optimized geometry, DFT GGA-PBE
# Formation energy without anion corrections (eV/atom): -1.85
data_Na4TbY3S8
_cell_length_a 7.9856
_cell_length_b 7.9856
_cell_length_c 20.0539
_cell_angle_alpha 90.00
_cell_angle_beta 90.00
_cell_angle_gamma 120.00
_space_group_name_H-M_alt 'R -3 m'
_space_group_IT_number 166
_space_group_name_Hall '-R 3 2"'
loop_
_atom_site_label
_atom_site_type_symbol
_atom_site_fract_x
_atom_site_fract_y
_atom_site_fract_z
Na1 Na 0.0000 0.0000 0.0000
Na2 Na 0.0000 0.5000 0.0000
Tb1 Tb 0.0000 0.0000 0.5000
Y1 Y 0.0000 0.5000 0.5000
S1 S 0.0000 0.0000 0.2423
S2 S 0.0006 0.5003 0.7576

No. 2
# Mg2MnCl, optimized geometry, DFT GGA-PBE
# Energy above the lowest structure with this stoichiometry (meV per atom): 46
# Formation energy without anion corrections (eV/atom): -0.26
data_Mg2MnCl
_cell_length_a 3.2521
_cell_length_b 3.2521
_cell_length_c 25.2139
_cell_angle_alpha 90.00
_cell_angle_beta 90.00
_cell_angle_gamma 120.00
_space_group_name_H-M_alt 'R -3 m'
_space_group_IT_number 166
_space_group_name_Hall '-R 3 2"'
loop_
_atom_site_label
_atom_site_type_symbol
_atom_site_fract_x
_atom_site_fract_y
_atom_site_fract_z
Mg1 Mg 0.0000 0.0000 0.2481
Mn1 Mn 0.0000 0.0000 0.0000
Cl1 Cl 0.0000 0.0000 0.5000

No. 3
# La5Pr2ZnCu2, optimized geometry, DFT GGA-PBE
# ΔH_f (0 K) (eV per atom): -0.1441
data_La5Pr2ZnCu2
_cell_length_a 12.5178
_cell_length_b 12.5178
_cell_length_c 3.8555
_cell_angle_alpha 90.00
_cell_angle_beta 90.00
_cell_angle_gamma 90.00
_space_group_name_H-M_alt 'P 4/m b m'
_space_group_IT_number 127
_space_group_name_Hall '-P 4 2ab'
loop_
_atom_site_label
_atom_site_type_symbol
_atom_site_fract_x
_atom_site_fract_y
_atom_site_fract_z
La1 La 0.0000 0.5000 0.0000
La2 La 0.0567 0.1988 0.0000
Pr1 Pr 0.1799 0.6799 0.5000
Zn1 Zn 0.0000 0.0000 0.5000
Cu1 Cu 0.1290 0.3710 0.5000

No. 4
# Y2CrReSn, optimized geometry, DFT GGA-PBE
# Energy above the lowest structure with this stoichiometry (meV per atom): 20
# ΔH_f (0 K) (eV per atom): 1.0492
data_Y2CrReSn
_cell_length_a 5.3145
_cell_length_b 5.3145
_cell_length_c 5.1175
_cell_angle_alpha 90.00
_cell_angle_beta 90.00
_cell_angle_gamma 90.00
_space_group_name_H-M_alt 'P 4/m m m'
_space_group_IT_number 123
_space_group_name_Hall '-P 4 2'
loop_
_atom_site_label
_atom_site_type_symbol
_atom_site_fract_x
_atom_site_fract_y
_atom_site_fract_z
Y1 Y 0.0000 0.5000 0.0000
Cr1 Cr 0.0000 0.0000 0.5000
Re1 Re 0.5000 0.5000 0.0000
Sn1 Sn 0.5000 0.5000 0.5000

No. 5
# LiY2Ho, optimized geometry, DFT GGA-PBE
# Energy above the lowest structure with this stoichiometry (meV per atom): 124
# ΔH_f (0 K) (eV per atom): 0.1852
data_LiY2Ho
_cell_length_a 3.4660
_cell_length_b 3.4660
_cell_length_c 36.4968
_cell_angle_alpha 90.00
_cell_angle_beta 90.00
_cell_angle_gamma 120.00
_space_group_name_H-M_alt 'R -3 m'
_space_group_IT_number 166
_space_group_name_Hall '-R 3 2"'
loop_
_atom_site_label
_atom_site_type_symbol
_atom_site_fract_x
_atom_site_fract_y
_atom_site_fract_z
Li1 Li 0.0000 0.0000 0.0000
Y1 Y 0.0000 0.0000 0.0888
Ho1 Ho 0.0000 0.0000 0.5000

No. 6
# K2CaAgF6, optimized geometry, DFT GGA-PBE
# Formation energy without anion corrections (eV/atom): -2.64
data_K2CaAgF6
_cell_length_a 4.4417
_cell_length_b 4.4417
_cell_length_c 8.8972
_cell_angle_alpha 90.00
_cell_angle_beta 90.00
_cell_angle_gamma 90.00
_space_group_name_H-M_alt 'P 4/m m m'
_space_group_IT_number 123
_space_group_name_Hall '-P 4 2'
loop_
_atom_site_label
_atom_site_type_symbol
_atom_site_fract_x
_atom_site_fract_y
_atom_site_fract_z
K1 K 0.0000 0.0000 0.2402
Ca1 Ca 0.5000 0.5000 0.5000
Ag1 Ag 0.5000 0.5000 0.0000
F1 F 0.0000 0.5000 0.0000
F2 F 0.0000 0.5000 0.5000
F3 F 0.5000 0.5000 0.2477

No. 7
# Na2ThPaBi4, optimized geometry, DFT GGA-PBE
# ΔH_f (0 K) (eV per atom): -0.2546
data_Na2ThPaBi4
_cell_length_a 7.7420
_cell_length_b 4.7144
_cell_length_c 8.1268
_cell_angle_alpha 90.00
_cell_angle_beta 110.87
_cell_angle_gamma 90.00
_space_group_name_H-M_alt 'P 1 2/m 1'
_space_group_IT_number 10
loop_
_space_group_symop_operation_xyz
'x,y,z'
'-x,-y,-z'
'-x,y,-z'
'x,-y,z'
loop_
_atom_site_label
_atom_site_type_symbol
_atom_site_fract_x
_atom_site_fract_y
_atom_site_fract_z
Na1 Na 0.0000 0.0000 0.0000
Na2 Na 0.0000 0.5000 0.5000
Th1 Th 0.5000 0.0000 0.5000
Pa1 Pa 0.5000 0.5000 0.0000
Bi1 Bi 0.2656 0.5000 0.2458
Bi2 Bi 0.2720 0.0000 0.7659

No. 8
# Pm2SmY3Sb6, optimized geometry, DFT GGA-PBE
# Formation energy without anion corrections (eV/atom): -1.17
data_Pm2SmY3Sb6
_cell_length_a 7.6925
_cell_length_b 13.3244
_cell_length_c 7.6806
_cell_angle_alpha 90.00
_cell_angle_beta 109.49
_cell_angle_gamma 90.00
_space_group_name_H-M_alt 'C 1 2/m 1'
_space_group_IT_number 12
loop_
_space_group_symop_operation_xyz
'x,y,z'
'-x,-y,-z'
'-x,y,-z'
'x,-y,z'
'x+1/2,y+1/2,z'
'-x+1/2,-y+1/2,-z'
'-x+1/2,y+1/2,-z'
'x+1/2,-y+1/2,z'
loop_
_atom_site_label
_atom_site_type_symbol
_atom_site_fract_x
_atom_site_fract_y
_atom_site_fract_z
Pm1 Pm 0.0000 0.1665 0.0000
Sm1 Sm 0.0000 0.5000 0.0000
Y1 Y 0.0000 0.0000 0.5000
Y2 Y 0.0000 0.3330 0.5000
Sb1 Sb 0.2470 0.5000 0.7437
Sb2 Sb 0.2485 0.1663 0.7442

No. 9
# Tm12Ni6Te, optimized geometry, DFT GGA-PBE
# Formation energy without anion corrections (eV/atom): -0.45
data_Tm12Ni6Te
_cell_length_a 9.6037
_cell_length_b 9.6037
_cell_length_c 9.6037
_cell_angle_alpha 90.00
_cell_angle_beta 90.00
_cell_angle_gamma 90.00
_space_group_name_H-M_alt 'I m -3'
_space_group_IT_number 204
_space_group_name_Hall '-I 2 2 3'
loop_
_atom_site_label
_atom_site_type_symbol
_atom_site_fract_x
_atom_site_fract_y
_atom_site_fract_z
Tm1 Tm 0.0000 0.3072 0.1887
Ni1 Ni 0.0000 0.1251 0.5000
Te1 Te 0.0000 0.0000 0.0000

No. 10
# Hf2Th2S7, optimized geometry, DFT GGA-PBE
# Formation energy without anion corrections (eV/atom): -1.55
data_Hf2Th2S7
_cell_length_a 7.8320
_cell_length_b 11.8542
_cell_length_c 6.9755
_cell_angle_alpha 90.00
_cell_angle_beta 96.42
_cell_angle_gamma 90.00
_space_group_name_H-M_alt 'C 1 2/m 1'
_space_group_IT_number 12
loop_
_space_group_symop_operation_xyz
'x,y,z'
'-x,-y,-z'
'-x,y,-z'
'x,-y,z'
'x+1/2,y+1/2,z'
'-x+1/2,-y+1/2,-z'
'-x+1/2,y+1/2,-z'
'x+1/2,-y+1/2,z'
loop_
_atom_site_label
_atom_site_type_symbol
_atom_site_fract_x
_atom_site_fract_y
_atom_site_fract_z
Hf1 Hf 0.2247 0.0000 0.1174
Th1 Th 0.0000 0.1712 0.5000
S1 S 0.0000 0.5000 0.0000
S2 S 0.0904 0.0000 0.7764
S3 S 0.2223 0.3161 0.7193

No. 11
# MnGe2Ir, optimized geometry, DFT GGA-PBE
# ΔH_f (0 K) (eV per atom): -0.0203
data_MnGe2Ir
_cell_length_a 2.9912
_cell_length_b 2.9912
_cell_length_c 6.0482
_cell_angle_alpha 90.00
_cell_angle_beta 90.00
_cell_angle_gamma 90.00
_space_group_name_H-M_alt 'P 4/m m m'
_space_group_IT_number 123
_space_group_name_Hall '-P 4 2'
loop_
_atom_site_label
_atom_site_type_symbol
_atom_site_fract_x
_atom_site_fract_y
_atom_site_fract_z
Mn1 Mn 0.0000 0.0000 0.0000
Ge1 Ge 0.5000 0.5000 0.2265
Ir1 Ir 0.0000 0.0000 0.5000

No. 12
# MnAs2Ru, optimized geometry, DFT GGA-PBE
# Energy above the lowest structure with this stoichiometry (meV per atom): 431
# ΔH_f (0 K) (eV per atom): 0.3279
data_MnAs2Ru
_cell_length_a 6.2892
_cell_length_b 6.2892
_cell_length_c 6.2892
_cell_angle_alpha 90.00
_cell_angle_beta 90.00
_cell_angle_gamma 90.00
_space_group_name_H-M_alt 'F -4 3 m'
_space_group_IT_number 216
_space_group_name_Hall 'F -4 2 3'
loop_
_atom_site_label
_atom_site_type_symbol
_atom_site_fract_x
_atom_site_fract_y
_atom_site_fract_z
Mn1 Mn 0.0000 0.0000 0.0000
As1 As 0.0000 0.0000 0.5000
As2 As 0.2500 0.2500 0.2500
Ru1 Ru 0.2500 0.2500 0.7500

No. 13
# Y2Mg, optimized geometry, DFT GGA-PBE
# ΔH_f (0 K) (eV per atom): -0.0575
data_Y2Mg
_cell_length_a 3.7384
_cell_length_b 3.7384
_cell_length_c 12.5695
_cell_angle_alpha 90.00
_cell_angle_beta 90.00
_cell_angle_gamma 90.00
_space_group_name_H-M_alt 'I 4/m m m'
_space_group_IT_number 139
_space_group_name_Hall '-I 4 2'
loop_
_atom_site_label
_atom_site_type_symbol
_atom_site_fract_x
_atom_site_fract_y
_atom_site_fract_z
Y1 Y 0.0000 0.0000 0.1553
Mg1 Mg 0.0000 0.0000 0.5000

Number 1: calculated volume 1107.5 Å³ per cell, DFT total energy -5.746 eV per atom. Number 2: calculated volume 230.9 Å³ per cell, DFT total energy -3.811 eV per atom. Number 3: calculated volume 604.1 Å³ per cell, DFT total energy -4.510 eV per atom. Number 4: calculated volume 144.5 Å³ per cell, DFT total energy -6.751 eV per atom. Number 5: calculated volume 379.7 Å³ per cell, DFT total energy -4.670 eV per atom. Number 6: calculated volume 175.5 Å³ per cell, DFT total energy -4.465 eV per atom. Number 7: calculated volume 277.2 Å³ per cell, DFT total energy -4.639 eV per atom. Number 8: calculated volume 742.2 Å³ per cell, DFT total energy -6.036 eV per atom. Number 9: calculated volume 885.7 Å³ per cell, DFT total energy -5.267 eV per atom. Number 10: calculated volume 643.6 Å³ per cell, DFT total energy -7.338 eV per atom. Number 11: calculated volume 54.1 Å³ per cell, DFT total energy -6.837 eV per atom. Number 12: calculated volume 248.8 Å³ per cell, DFT total energy -6.608 eV per atom. Number 13: calculated volume 175.7 Å³ per cell, DFT total energy -4.898 eV per atom.